A plane-wave DFT calculation with GGA-PBEsol was carried out for a relaxed Cu2SeS crystal.

Geometry as POSCAR:
```
Cu2SeS
1.0
5.2699 0.0000 0.0000
0.0000 5.2699 0.0000
0.0000 0.0000 10.4623
Cu Se S
8 4 4
direct
0.2273 0.2500 0.1250 Cu
0.2500 0.7273 0.3750 Cu
0.2500 0.7727 0.8750 Cu
0.2727 0.2500 0.6250 Cu
0.7273 0.7500 0.6250 Cu
0.7500 0.2273 0.8750 Cu
0.7500 0.2727 0.3750 Cu
0.7727 0.7500 0.1250 Cu
0.0000 0.0000 0.5000 Se
0.0000 0.5000 0.7500 Se
0.5000 0.0000 0.2500 Se
0.5000 0.5000 0.0000 Se
0.0000 0.0000 0.0000 S
0.0000 0.5000 0.2500 S
0.5000 0.0000 0.7500 S
0.5000 0.5000 0.5000 S
```

## Properties
* formation energy from raw total energies: -0.16 eV per atom
* density of states at the Fermi level: 0.79 states/eV per atom
* calculated total energy: -4.386 eV/atom